Entry from Alexandria via LeMat-Bulk: a relaxed Ba3Au crystal (GGA-PBEsol).

Energy of formation (eV per formula unit): -0.2
Energy (eV for the cell shown): -10.59
Magnetic moment (μB/f.u.): 0.0

abc: 4.991 4.991 7.054
angles: 110.72 110.72 90.00
Sites, in units of the cell vectors:
Au1 0.000 0.000 0.000
Ba1 0.750 0.250 0.500
Ba2 0.500 0.500 0.000
Ba3 0.250 0.750 0.500